[1]
VASP calculation (GGA-PBE) on a geometry-optimized TiBiRu structure.

Cell and atoms, written as CIF:
```
data_TiBiRu
_chemical_formula_sum 'Ti4 Bi4 Ru4'
_symmetry_space_group_name_H-M 'I 4/m m m'
_symmetry_Int_Tables_number 139
_symmetry_space_group_name_Hall '-I 4 2'
_cell_length_a 3.3638
_cell_length_b 3.3638
_cell_length_c 22.9242
_cell_angle_alpha 90.00
_cell_angle_beta 90.00
_cell_angle_gamma 90.00
loop_
_atom_site_label
_atom_site_fract_x
_atom_site_fract_y
_atom_site_fract_z
Ti1 0.0000 0.0000 0.1695
Bi1 0.0000 0.0000 0.4186
Ru1 0.0000 0.0000 0.2877
```

Summary:
Total moment, μB per cell: 0.00
Energy relative to the elements, eV/atom: -0.201
Total energy, eV per atom: -7.218


[2]
VASP calculation (GGA-PBE) on a geometry-optimized TlSnIO2 structure.

Cell and atoms, written as CIF:
```
data_TlSnIO2
_chemical_formula_sum 'Tl1 Sn1 I1 O2'
_symmetry_space_group_name_H-M 'P 4/m m m'
_symmetry_Int_Tables_number 123
_symmetry_space_group_name_Hall '-P 4 2'
_cell_length_a 4.3015
_cell_length_b 4.3015
_cell_length_c 6.1464
_cell_angle_alpha 90.00
_cell_angle_beta 90.00
_cell_angle_gamma 90.00
loop_
_atom_site_label
_atom_site_fract_x
_atom_site_fract_y
_atom_site_fract_z
Tl1 0.0000 0.0000 0.0000
Sn1 0.5000 0.5000 0.5000
I1 0.5000 0.5000 0.0000
O1 0.0000 0.5000 0.5000
```

Summary:
Energy above the lowest structure with this stoichiometry, meV/atom: 0
Total moment, μB per cell: 0.00
ΔE_f (raw), eV per formula unit: -2.550
Total energy, eV per atom: -4.077


[3]
VASP calculation (GGA-PBE) on a geometry-optimized Tl2HS structure.

Cell and atoms, written as CIF:
```
data_Tl2HS
_chemical_formula_sum 'Tl8 H4 S4'
_symmetry_space_group_name_H-M 'I -4 2 d'
_symmetry_Int_Tables_number 122
_symmetry_space_group_name_Hall 'I -4 2bw'
_cell_length_a 6.0674
_cell_length_b 6.0674
_cell_length_c 11.1608
_cell_angle_alpha 90.00
_cell_angle_beta 90.00
_cell_angle_gamma 90.00
loop_
_atom_site_label
_atom_site_fract_x
_atom_site_fract_y
_atom_site_fract_z
Tl1 0.1884 0.2500 0.1250
H1 0.0000 0.0000 0.0000
S1 0.0000 0.0000 0.5000
```

Summary:
Energy above the lowest structure with this stoichiometry, meV/atom: 142
Total moment, μB per cell: 0.00
Total energy, eV per atom: -2.962


[4]
VASP calculation (GGA-PBE) on a geometry-optimized Ti2CO structure.

Cell and atoms, written as CIF:
```
data_Ti2CO
_chemical_formula_sum 'Ti8 C4 O4'
_symmetry_space_group_name_H-M 'F m -3 m'
_symmetry_Int_Tables_number 225
_symmetry_space_group_name_Hall '-F 4 2 3'
_cell_length_a 5.3655
_cell_length_b 5.3655
_cell_length_c 5.3655
_cell_angle_alpha 90.00
_cell_angle_beta 90.00
_cell_angle_gamma 90.00
loop_
_atom_site_label
_atom_site_fract_x
_atom_site_fract_y
_atom_site_fract_z
Ti1 0.2500 0.2500 0.2500
C1 0.0000 0.0000 0.0000
O1 0.0000 0.0000 0.5000
```

Summary:
Energy above the lowest structure with this stoichiometry, meV/atom: 802
Total moment, μB per cell: 0.00
ΔE_f (raw), eV per formula unit: -3.699
Total energy, eV per atom: -8.418